[1]
DFT (PBE) results for crystalline Sm4AsSe2Br at its relaxed geometry.

Structure (CIF):
```
data_Sm4AsSe2Br
_symmetry_space_group_name_H-M 'P 1 2/m 1'
_symmetry_Int_Tables_number 10
_symmetry_space_group_name_Hall '-P 2y'
_cell_length_a 7.257
_cell_length_b 4.219
_cell_length_c 7.342
_cell_angle_alpha 90.00
_cell_angle_beta 109.52
_cell_angle_gamma 90.00
loop_
_atom_site_label
_atom_site_fract_x
_atom_site_fract_y
_atom_site_fract_z
Sm1 0.229 0.000 0.220
Sm2 0.247 0.500 0.772
As1 0.500 0.000 0.000
Se1 0.000 0.000 0.500
Se2 0.000 0.500 0.000
Br1 0.500 0.500 0.500
```

Summary:
- Energy relative to the elements, uncorrected: -153 kJ per mole of atoms
- DFT total energy: -44.88 eV/cell



[2]
DFT (PBE) results for crystalline LaZn2Tc at its relaxed geometry.

Structure (CIF):
```
data_LaZn2Tc
_symmetry_space_group_name_H-M 'F m -3 m'
_symmetry_Int_Tables_number 225
_symmetry_space_group_name_Hall '-F 4 2 3'
_cell_length_a 6.779
_cell_length_b 6.779
_cell_length_c 6.779
_cell_angle_alpha 90.00
_cell_angle_beta 90.00
_cell_angle_gamma 90.00
loop_
_atom_site_label
_atom_site_fract_x
_atom_site_fract_y
_atom_site_fract_z
La1 0.000 0.000 0.000
Zn1 0.250 0.250 0.250
Tc1 0.000 0.000 0.500
```

Summary:
- Energy relative to the lowest polymorph listed for this composition: 178 meV per atom
- DFT total energy: -68.65 eV/cell



[3]
DFT (PBE) results for crystalline CaTm2Te4 at its relaxed geometry.

Structure (CIF):
```
data_CaTm2Te4
_symmetry_space_group_name_H-M 'C m c m'
_symmetry_Int_Tables_number 63
_symmetry_space_group_name_Hall '-C 2c 2'
_cell_length_a 4.310
_cell_length_b 14.213
_cell_length_c 15.009
_cell_angle_alpha 90.00
_cell_angle_beta 90.00
_cell_angle_gamma 90.00
loop_
_atom_site_label
_atom_site_fract_x
_atom_site_fract_y
_atom_site_fract_z
Ca1 0.000 0.115 0.250
Tm1 0.000 0.366 0.070
Te1 0.000 0.000 0.000
Te2 0.000 0.275 0.618
Te3 0.000 0.455 0.250
```

Summary:
- Energy relative to the lowest polymorph listed for this composition: 31 meV per atom
- Energy relative to the elements, uncorrected: -136 kJ per mole of atoms
- DFT total energy: -133.60 eV/cell



[4]
DFT (PBE) results for crystalline SrTaNiP2 at its relaxed geometry.

Structure (CIF):
```
data_SrTaNiP2
_symmetry_space_group_name_H-M 'I -4 m 2'
_symmetry_Int_Tables_number 119
_symmetry_space_group_name_Hall 'I -4 -2'
_cell_length_a 3.921
_cell_length_b 3.921
_cell_length_c 12.623
_cell_angle_alpha 90.00
_cell_angle_beta 90.00
_cell_angle_gamma 90.00
loop_
_atom_site_label
_atom_site_fract_x
_atom_site_fract_y
_atom_site_fract_z
Sr1 0.000 0.000 0.000
Ta1 0.000 0.500 0.750
Ni1 0.000 0.500 0.250
P1 0.000 0.000 0.363
```

Summary:
- DFT total energy: -68.14 eV/cell



[5]
DFT (PBE) results for crystalline Pr4ThHg5 at its relaxed geometry.

Structure (CIF):
```
data_Pr4ThHg5
_symmetry_space_group_name_H-M 'P 4/m m m'
_symmetry_Int_Tables_number 123
_symmetry_space_group_name_Hall '-P 4 2'
_cell_length_a 3.854
_cell_length_b 3.854
_cell_length_c 19.292
_cell_angle_alpha 90.00
_cell_angle_beta 90.00
_cell_angle_gamma 90.00
loop_
_atom_site_label
_atom_site_fract_x
_atom_site_fract_y
_atom_site_fract_z
Pr1 0.000 0.000 0.100
Pr2 0.000 0.000 0.301
Th1 0.000 0.000 0.500
Hg1 0.500 0.500 0.000
Hg2 0.500 0.500 0.201
Hg3 0.500 0.500 0.401
```

Summary:
- DFT total energy: -32.17 eV/cell



[6]
DFT (PBE) results for crystalline LaTb14Sc at its relaxed geometry.

Structure (CIF):
```
data_LaTb14Sc
_symmetry_space_group_name_H-M 'A m m 2'
_symmetry_Int_Tables_number 38
_symmetry_space_group_name_Hall 'A 2 -2'
_cell_length_a 11.500
_cell_length_b 7.131
_cell_length_c 12.372
_cell_angle_alpha 90.00
_cell_angle_beta 90.00
_cell_angle_gamma 90.00
loop_
_atom_site_label
_atom_site_fract_x
_atom_site_fract_y
_atom_site_fract_z
La1 0.000 0.000 0.000
Tb1 0.000 0.248 0.752
Tb2 0.246 0.000 0.336
Tb3 0.249 0.248 0.585
Tb4 0.254 0.000 0.834
Tb5 0.500 0.000 0.168
Tb6 0.500 0.000 0.667
Tb7 0.500 0.248 0.418
Sc1 0.000 0.000 0.502
```

Summary:
- DFT total energy: -151.83 eV/cell



[7]
DFT (PBE) results for crystalline Tm3Mg2Pd2 at its relaxed geometry.

Structure (CIF):
```
data_Tm3Mg2Pd2
_symmetry_space_group_name_H-M 'C m m m'
_symmetry_Int_Tables_number 65
_symmetry_space_group_name_Hall '-C 2 2'
_cell_length_a 4.284
_cell_length_b 21.615
_cell_length_c 3.576
_cell_angle_alpha 90.00
_cell_angle_beta 90.00
_cell_angle_gamma 90.00
loop_
_atom_site_label
_atom_site_fract_x
_atom_site_fract_y
_atom_site_fract_z
Tm1 0.000 0.000 0.000
Tm2 0.000 0.175 0.000
Mg1 0.000 0.418 0.500
Pd1 0.000 0.291 0.500
```

Summary:
- Energy relative to the lowest polymorph listed for this composition: 0 meV per atom
- DFT total energy: -61.30 eV/cell



[8]
DFT (PBE) results for crystalline GaSnHgBr4 at its relaxed geometry.

Structure (CIF):
```
data_GaSnHgBr4
_symmetry_space_group_name_H-M 'C 1 2/m 1'
_symmetry_Int_Tables_number 12
_symmetry_space_group_name_Hall '-C 2y'
_cell_length_a 12.349
_cell_length_b 9.705
_cell_length_c 11.484
_cell_angle_alpha 90.00
_cell_angle_beta 113.99
_cell_angle_gamma 90.00
loop_
_atom_site_label
_atom_site_fract_x
_atom_site_fract_y
_atom_site_fract_z
Ga1 0.139 0.000 0.278
Sn1 0.193 0.500 0.218
Hg1 0.087 0.500 0.897
Br1 0.083 0.000 0.797
Br2 0.189 0.203 0.169
Br3 0.250 0.000 0.518
```

Summary:
- Energy relative to the elements, uncorrected: -51 kJ per mole of atoms
- DFT total energy: -71.00 eV/cell



[9]
DFT (PBE) results for crystalline Hf2BeV at its relaxed geometry.

Structure (CIF):
```
data_Hf2BeV
_symmetry_space_group_name_H-M 'P 4/m m m'
_symmetry_Int_Tables_number 123
_symmetry_space_group_name_Hall '-P 4 2'
_cell_length_a 4.352
_cell_length_b 4.352
_cell_length_c 3.554
_cell_angle_alpha 90.00
_cell_angle_beta 90.00
_cell_angle_gamma 90.00
loop_
_atom_site_label
_atom_site_fract_x
_atom_site_fract_y
_atom_site_fract_z
Hf1 0.000 0.500 0.000
Be1 0.000 0.000 0.500
V1 0.500 0.500 0.500
```

Summary:
- DFT total energy: -32.35 eV/cell



[10]
DFT (PBE) results for crystalline RbSr2MgIr at its relaxed geometry.

Structure (CIF):
```
data_RbSr2MgIr
_symmetry_space_group_name_H-M 'P 4/m m m'
_symmetry_Int_Tables_number 123
_symmetry_space_group_name_Hall '-P 4 2'
_cell_length_a 5.933
_cell_length_b 5.933
_cell_length_c 5.447
_cell_angle_alpha 90.00
_cell_angle_beta 90.00
_cell_angle_gamma 90.00
loop_
_atom_site_label
_atom_site_fract_x
_atom_site_fract_y
_atom_site_fract_z
Rb1 0.000 0.000 0.000
Sr1 0.000 0.500 0.500
Mg1 0.500 0.500 0.000
Ir1 0.500 0.500 0.500
```

Summary:
- DFT total energy: -14.91 eV/cell



[11]
DFT (PBE) results for crystalline BeFe2Pd2 at its relaxed geometry.

Structure (CIF):
```
data_BeFe2Pd2
_symmetry_space_group_name_H-M 'I 4/m m m'
_symmetry_Int_Tables_number 139
_symmetry_space_group_name_Hall '-I 4 2'
_cell_length_a 3.019
_cell_length_b 3.019
_cell_length_c 14.203
_cell_angle_alpha 90.00
_cell_angle_beta 90.00
_cell_angle_gamma 90.00
loop_
_atom_site_label
_atom_site_fract_x
_atom_site_fract_y
_atom_site_fract_z
Be1 0.000 0.000 0.000
Fe1 0.000 0.500 0.250
Pd1 0.000 0.000 0.406
```

Summary:
- Energy relative to the lowest polymorph listed for this composition: 0 meV per atom
- DFT total energy: -59.39 eV/cell



[12]
DFT (PBE) results for crystalline Ac12CuHg6 at its relaxed geometry.

Structure (CIF):
```
data_Ac12CuHg6
_symmetry_space_group_name_H-M 'R -3'
_symmetry_Int_Tables_number 148
_symmetry_space_group_name_Hall '-R 3'
_cell_length_a 13.0772
_cell_length_b 13.0772
_cell_length_c 14.6847
_cell_angle_alpha 90.00
_cell_angle_beta 90.00
_cell_angle_gamma 120.00
loop_
_atom_site_label
_atom_site_fract_x
_atom_site_fract_y
_atom_site_fract_z
Ac1 0.0340 0.8379 0.3788
Ac2 0.0390 0.1941 0.8892
Cu1 0.0000 0.0000 0.5000
Hg1 0.0025 0.3996 0.7550
```

Summary:
- DFT total energy: -176.65 eV/cell